No. 1
BeCd2As2 | PBE-GGA | optimized geometry

Calculated values
The formation energy from the elements is 0.5816 eV/atom. Its density of states at the Fermi level is 0.50 states/eV/f.u. The spin magnetization is 0.0 μB/f.u. As for the space group: I4/mmm (139).

Structure (POSCAR):
```
BeCd2As2
1.0
-2.476 2.476 4.887
2.476 -2.476 4.887
2.476 2.476 -4.887
Be Cd As
1 2 2
Cartesian
0.000 0.000 0.000
2.476 0.000 2.444
0.000 2.476 2.444
0.000 0.000 3.675
0.000 0.000 6.100
```

No. 2
NaEuZrSnO6 | PBE-GGA | optimized geometry

Calculated values
Its density of states at the Fermi level is 12.04 states/eV/f.u. The spin magnetization is 6.0 μB/f.u. As for the uncorrected formation energy: -2.311 eV/atom. As for the space group: F-43m (216).

Structure (POSCAR):
```
NaEuZrSnO6
1.0
0.000 4.123 4.123
4.123 0.000 4.123
4.123 4.123 0.000
Na Eu Zr Sn O
1 1 1 1 6
Cartesian
0.000 0.000 0.000
4.123 4.123 4.123
2.062 2.062 2.062
6.185 6.185 6.185
6.185 6.185 4.140
6.185 4.140 6.185
8.230 6.185 6.185
4.140 6.185 6.185
6.185 8.230 6.185
6.185 6.185 8.230
```